1.
First-principles (PBE-GGA) data for a relaxed structure of SmEuPdRh, as listed in Alexandria.

Cell and atoms, written as extended XYZ:
```
4
Lattice="-3.9673 -2.4081 1.9117 -2.0697 -3.8183 -2.5159 0.4968 -4.6936 1.7079" Properties=species:S:1:pos:R:3 pbc="T T T"
Pd 0.0000 0.0000 0.0000
Sm -4.1552 -8.1900 0.8277
Rh -2.7701 -5.4600 0.5518
Eu -1.3851 -2.7300 0.2759
```

Results
As for the space group: F-43m, No. 216. The magnetization is 6.8 μB per cell. Its formation energy is -0.628 eV per atom. As for the crystal system: cubic. Its density of states at the Fermi level is 13.298 states/eV per cell.

2.
First-principles (PBE-GGA) data for a relaxed structure of TaCd4As, as listed in Alexandria.

Cell and atoms, written as extended XYZ:
```
6
Lattice="5.6057 -0.3924 -0.6043 2.5867 -4.9630 0.7878 2.1789 -2.7826 -4.4105" Properties=species:S:1:pos:R:3 pbc="T T T"
Ta 7.7785 -6.1034 -3.1702
Cd 4.9795 -4.4416 -3.7839
Cd 5.1826 -5.5276 -1.1947
Cd 3.8942 -3.0556 -1.5872
Cd 6.6863 -3.2511 -1.8882
As 0.0000 0.0000 0.0000
```

Results
As for the space group: F-43m, No. 216. The magnetization is 2.3 μB per cell. Its formation energy is 0.606 eV per atom. As for the crystal system: cubic. Its density of states at the Fermi level is 3.987 states/eV per cell.

3.
First-principles (PBE-GGA) data for a relaxed structure of TmPuPt6, as listed in Alexandria.

Cell and atoms, written as extended XYZ:
```
8
Lattice="4.1179 0.0000 0.0000 0.0000 4.1179 0.0000 0.0000 0.0000 8.2613" Properties=species:S:1:pos:R:3 pbc="T T T"
Pt 2.0589 2.0589 4.1307
Pt 0.0000 2.0589 2.0508
Pt 2.0589 0.0000 2.0508
Pt 2.0589 2.0589 0.0000
Pt 0.0000 2.0589 6.2106
Pt 2.0589 0.0000 6.2106
Pu 0.0000 0.0000 4.1307
Tm 0.0000 0.0000 0.0000
```

Results
As for the space group: P4/mmm, No. 123. The magnetization is 4.1 μB per cell. Its formation energy is -0.895 eV per atom. As for the crystal system: tetragonal. Its density of states at the Fermi level is 16.392 states/eV per cell.

4.
First-principles (PBE-GGA) data for a relaxed structure of ZnAs3Au, as listed in Alexandria.

Cell and atoms, written as extended XYZ:
```
5
Lattice="5.0659 0.0000 0.0000 0.0000 5.0659 0.0000 0.0000 0.0000 5.0659" Properties=species:S:1:pos:R:3 pbc="T T T"
As 2.5330 0.0000 0.0000
As 0.0000 0.0000 2.5330
As 0.0000 2.5330 0.0000
Zn 2.5330 2.5330 2.5330
Au 0.0000 0.0000 0.0000
```

Results
As for the space group: Pm-3m, No. 221. The magnetization is 0.0 μB per cell. Its formation energy is 0.923 eV per atom. As for the crystal system: cubic. Its density of states at the Fermi level is 5.437 states/eV per cell.

5.
First-principles (PBE-GGA) data for a relaxed structure of MnBe2Nb, as listed in Alexandria.

Cell and atoms, written as extended XYZ:
```
4
Lattice="0.0000 2.8557 2.8557 2.8557 0.0000 2.8557 2.8557 2.8557 0.0000" Properties=species:S:1:pos:R:3 pbc="T T T"
Mn 0.0000 0.0000 0.0000
Be 4.2836 4.2836 4.2836
Be 1.4279 1.4279 1.4279
Nb 2.8557 2.8557 2.8557
```

Results
As for the space group: Fm-3m, No. 225. The calculation puts the energy above the most stable polymorph in this dataset at 58.1 meV/atom. The magnetization is 1.8 μB per cell. Its formation energy is 0.019 eV per atom. As for the crystal system: cubic. Its density of states at the Fermi level is 1.844 states/eV per cell.

6.
First-principles (PBE-GGA) data for a relaxed structure of Cd2NiAg, as listed in Alexandria.

Cell and atoms, written as extended XYZ:
```
4
Lattice="-2.7389 1.9742 -3.1618 -0.0108 -1.5664 -4.3522 -3.6774 -2.2868 -1.6259" Properties=species:S:1:pos:R:3 pbc="T T T"
Ag -3.2135 -0.9395 -4.5699
Cd -1.6068 -0.4698 -2.2850
Cd 0.0000 0.0000 0.0000
Ni -4.8203 -1.4093 -6.8549
```

Results
As for the space group: F-43m, No. 216. The magnetization is 0.0 μB per cell. Its formation energy is 0.119 eV per atom. As for the crystal system: cubic. Its density of states at the Fermi level is 2.662 states/eV per cell.